{
  "formula": "BaLa2AuI",
  "functional": "meta-GGA SCAN",
  "state": "single point on PBEsol structure",
  "lattice_angstrom": [[5.676, 0.000, 0.000], [0.000, 5.676, 0.000], [0.000, 0.000, 6.606]],
  "species": ["Ba", "La", "La", "Au", "I"],
  "frac_coords": [[0.000, 0.000, 0.000], [0.000, 0.500, 0.500], [0.500, 0.000, 0.500], [0.000, 0.000, 0.500], [0.500, 0.500, 0.000]],
  "e_form_raw_ev_per_atom": -0.5536,
  "magmom_total_mub_per_fu": 0.168
}

***

{
  "formula": "PtPb2",
  "functional": "meta-GGA SCAN",
  "state": "single point on PBEsol structure",
  "lattice_angstrom": [[7.482, 0.000, 0.000], [0.000, 4.346, 0.000], [0.000, 0.000, 8.651]],
  "species": ["Pt", "Pt", "Pt", "Pt", "Pb", "Pb", "Pb", "Pb", "Pb", "Pb", "Pb", "Pb"],
  "frac_coords": [[0.245, 0.250, 0.111], [0.255, 0.750, 0.611], [0.745, 0.250, 0.389], [0.755, 0.750, 0.889], [0.022, 0.750, 0.338], [0.143, 0.750, 0.923], [0.357, 0.250, 0.423], [0.478, 0.250, 0.838], [0.522, 0.750, 0.162], [0.643, 0.750, 0.577], [0.857, 0.250, 0.077], [0.978, 0.250, 0.662]],
  "magmom_total_mub_per_fu": 0.000,
  "formation_enthalpy_0k_mev_per_atom": -114
}

***

{
  "formula": "BaNa2Cl2",
  "functional": "meta-GGA SCAN",
  "state": "single point on PBEsol structure",
  "lattice_angstrom": [[-2.070, 2.070, 8.688], [2.070, -2.070, 8.688], [2.070, 2.070, -8.688]],
  "species": ["Ba", "Na", "Na", "Cl", "Cl"],
  "frac_coords": [[0.000, 0.000, 0.000], [0.250, 0.750, 0.500], [0.750, 0.250, 0.500], [0.410, 0.410, 0.000], [0.590, 0.590, 0.000]],
  "e_form_raw_ev_per_atom": -1.3351,
  "magmom_total_mub_per_fu": 0.000
}

***

{
  "formula": "CaCdAu",
  "functional": "meta-GGA SCAN",
  "state": "single point on PBEsol structure",
  "lattice_angstrom": [[4.755, 0.000, 0.000], [-2.377, 4.118, 0.000], [0.000, 0.000, 3.537]],
  "species": ["Ca", "Cd", "Au"],
  "frac_coords": [[0.000, 0.000, 0.000], [0.333, 0.667, 0.500], [0.667, 0.333, 0.500]],
  "magmom_total_mub_per_fu": 0.000,
  "formation_enthalpy_0k_mev_per_atom": -664
}

***

{
  "formula": "ZrZnBiP2",
  "functional": "meta-GGA SCAN",
  "state": "single point on PBEsol structure",
  "lattice_angstrom": [[4.538, 0.000, 0.000], [0.000, 4.538, 0.000], [0.000, 0.000, 5.225]],
  "species": ["Zr", "Zn", "Bi", "P", "P"],
  "frac_coords": [[0.000, 0.000, 0.000], [0.500, 0.500, 0.500], [0.500, 0.500, 0.000], [0.000, 0.500, 0.500], [0.500, 0.000, 0.500]],
  "magmom_total_mub_per_fu": 0.000,
  "formation_enthalpy_0k_mev_per_atom": 677
}

***

{
  "formula": "In4Pb",
  "functional": "meta-GGA SCAN",
  "state": "single point on PBEsol structure",
  "lattice_angstrom": [[2.794, -1.746, 0.000], [2.794, 1.746, 0.000], [-0.221, 0.000, 13.445]],
  "species": ["In", "In", "In", "In", "Pb"],
  "frac_coords": [[0.087, 0.087, 0.292], [0.284, 0.284, 0.903], [0.716, 0.716, 0.097], [0.913, 0.913, 0.708], [0.500, 0.500, 0.500]],
  "magmom_total_mub_per_fu": 0.000,
  "de_polymorph_mev_per_atom": 0,
  "formation_enthalpy_0k_mev_per_atom": 65
}

***

{
  "formula": "ZnSe",
  "functional": "meta-GGA SCAN",
  "state": "single point on PBEsol structure",
  "lattice_angstrom": [[3.977, 0.000, 0.000], [-1.989, 3.445, 0.000], [0.000, 0.000, 6.538]],
  "species": ["Zn", "Zn", "Se", "Se"],
  "frac_coords": [[0.333, 0.667, 0.000], [0.667, 0.333, 0.500], [0.333, 0.667, 0.626], [0.667, 0.333, 0.126]],
  "e_form_raw_ev_per_atom": -0.7864,
  "magmom_total_mub_per_fu": 0.000
}

***

{
  "formula": "Y2SbAs",
  "functional": "meta-GGA SCAN",
  "state": "single point on PBEsol structure",
  "lattice_angstrom": [[3.233, -3.827, 0.000], [3.233, 3.827, 0.000], [0.000, 0.000, 3.829]],
  "species": ["Y", "Y", "Sb", "As"],
  "frac_coords": [[0.000, 0.500, 0.000], [0.500, 0.000, 0.000], [0.000, 0.000, 0.500], [0.500, 0.500, 0.500]],
  "e_form_raw_ev_per_atom": -1.0239,
  "magmom_total_mub_per_fu": 0.000
}